A plane-wave DFT calculation with PBE-GGA was carried out for a relaxed structure of FeCo4Ir6.

It has space group Cmcm (No. 63), with a = 4.2715 Å, b = 7.3237 Å, c = 18.8984 Å, α = 90.00°, β = 90.00° and γ = 90.00°. The inequivalent atoms are Fe at (0.0000, 0.2483, 0.2500), Co at (0.0000, 0.1625, 0.5332), Co at (0.0000, 0.4123, 0.6217), Ir at (0.0000, 0.0820, 0.6789), Ir at (0.0000, 0.2516, 0.1049), Ir at (0.0000, 0.4178, 0.7500) and Ir at (0.0000, 0.5000, 0.0000).

Its formation energy is 23 kJ per mole of atoms. The value obtained for the uncorrected energy is -349.79 eV for the cell shown. The total moment is 0.93 μB per atom.


A plane-wave DFT calculation with PBE-GGA was carried out for a relaxed structure of Fe6CoIr8.

It has space group P-3 (No. 147), with a = 9.2846 Å, b = 9.2846 Å, c = 2.7154 Å, α = 90.00°, β = 90.00° and γ = 120.00°. The inequivalent atoms are Fe at (0.0898, 0.4815, 0.2497), Co at (0.0000, 0.0000, 0.0000), Ir at (0.0775, 0.7825, 0.2560) and Ir at (0.3333, 0.6667, 0.7481).

Its formation energy is 26 kJ per mole of atoms. The value obtained for the uncorrected energy is -124.69 eV for the cell shown. The total moment is 0.79 μB per atom.


A plane-wave DFT calculation with PBE-GGA was carried out for a relaxed structure of FeCoIr4.

It has space group F-43m (No. 216), with a = 7.2405 Å, b = 7.2405 Å, c = 7.2405 Å, α = 90.00°, β = 90.00° and γ = 90.00°. The inequivalent atoms are Fe at (0.0000, 0.0000, 0.0000), Co at (0.2500, 0.2500, 0.2500) and Ir at (0.1249, 0.1249, 0.6249).

For the energy relative to the lowest polymorph listed for this composition, the calculation gives 3.485 eV per formula unit. Its formation energy is 55 kJ per mole of atoms. The value obtained for the uncorrected energy is -190.27 eV for the cell shown. The total moment is 1.37 μB per atom.


A plane-wave DFT calculation with PBE-GGA was carried out for a relaxed structure of FeCo2Ir.

It has space group Cmmm (No. 65), with a = 5.1829 Å, b = 7.2058 Å, c = 2.6178 Å, α = 90.00°, β = 90.00° and γ = 90.00°. The inequivalent atoms are Fe at (0.0000, 0.0000, 0.0000), Co at (0.2500, 0.2500, 0.5000) and Ir at (0.0000, 0.5000, 0.0000).

For the energy relative to the lowest polymorph listed for this composition, the calculation gives 0.000 eV per formula unit. Its formation energy is 1 kJ per mole of atoms. The value obtained for the uncorrected energy is -62.95 eV for the cell shown. The total moment is 1.52 μB per atom.


A plane-wave DFT calculation with PBE-GGA was carried out for a relaxed structure of FeCoIr.

It has space group I4mm (No. 107), with a = 2.6393 Å, b = 2.6393 Å, c = 10.7555 Å, α = 90.00°, β = 90.00° and γ = 90.00°. The inequivalent atoms are Fe at (0.0000, 0.0000, 0.0000), Co at (0.0000, 0.0000, 0.6575) and Ir at (0.0000, 0.0000, 0.3254).

For the energy relative to the lowest polymorph listed for this composition, the calculation gives 0.159 eV per formula unit. Its formation energy is 5 kJ per mole of atoms. The value obtained for the uncorrected energy is -48.57 eV for the cell shown. The total moment is 1.31 μB per atom.


A plane-wave DFT calculation with PBE-GGA was carried out for a relaxed structure of Fe3Co4Ir2.

It has space group Pnnm (No. 58), with a = 5.0388 Å, b = 11.2325 Å, c = 4.0300 Å, α = 90.00°, β = 90.00° and γ = 90.00°. The inequivalent atoms are Fe at (0.0000, 0.0000, 0.0000), Fe at (0.1169, 0.3195, 0.5000), Co at (0.1267, 0.2008, 0.0000), Co at (0.1329, 0.8923, 0.5000) and Ir at (0.1407, 0.5954, 0.0000).

Its formation energy is 14 kJ per mole of atoms. The value obtained for the uncorrected energy is -140.39 eV for the cell shown. The total moment is 1.66 μB per atom.


A plane-wave DFT calculation with PBE-GGA was carried out for a relaxed structure of FeCo3Ir12.

It has space group P4/mmm (No. 123), with a = 3.7900 Å, b = 3.7900 Å, c = 15.1830 Å, α = 90.00°, β = 90.00° and γ = 90.00°. The inequivalent atoms are Fe at (0.0000, 0.0000, 0.0000), Co at (0.0000, 0.0000, 0.2514), Co at (0.0000, 0.0000, 0.5000), Ir at (0.0000, 0.5000, 0.1239), Ir at (0.0000, 0.5000, 0.3749), Ir at (0.5000, 0.5000, 0.0000), Ir at (0.5000, 0.5000, 0.2496) and Ir at (0.5000, 0.5000, 0.5000).

Its formation energy is 3 kJ per mole of atoms. The value obtained for the uncorrected energy is -135.64 eV for the cell shown. The total moment is 0.00 μB per atom.


A plane-wave DFT calculation with PBE-GGA was carried out for a relaxed structure of FeCo3Ir.

It has space group P-1 (No. 2), with a = 3.6007 Å, b = 4.4485 Å, c = 8.1395 Å, α = 89.96°, β = 89.92° and γ = 66.13°. The inequivalent atoms are Fe at (0.0481, 0.4033, 0.3495), Co at (0.1469, 0.2061, 0.0467), Co at (0.3512, 0.7978, 0.4511), Co at (0.4487, 0.6030, 0.1433) and Ir at (0.2510, 0.9983, 0.7506).

For the energy relative to the lowest polymorph listed for this composition, the calculation gives 0.000 eV per formula unit. Its formation energy is 3 kJ per mole of atoms. The value obtained for the uncorrected energy is -76.95 eV for the cell shown. The total moment is 1.55 μB per atom.